Entry from the Alexandria database: Ho4PdRu3 after structural relaxation (PBE).

Properties
- Calculated total energy: -6.95 eV per atom
- E_form: -4.28 eV/f.u.
- Density of states at the Fermi level: 3.42 states/eV/f.u.
- Space-group type: No. 123

Cell lengths 4.823, 6.795, 9.646 Å; angles 90.00, 90.00, 90.00 degrees
Positions (direct):
Ho  0.500  0.244  0.000
Ho  0.000  0.244  0.750
Ho  0.000  0.244  0.250
Ho  0.000  0.756  0.750
Ho  0.500  0.756  0.000
Ho  0.000  0.756  0.250
Ho  0.500  0.244  0.500
Ho  0.500  0.756  0.500
Ru  0.500  0.500  0.250
Ru  0.000  0.000  0.000
Ru  0.500  0.000  0.250
Ru  0.000  0.000  0.500
Ru  0.500  0.000  0.750
Ru  0.500  0.500  0.750
Pd  0.000  0.500  0.500
Pd  0.000  0.500  0.000



Entry from the Alexandria database: Cs2NiAuN after structural relaxation (PBE).

Properties
- Calculated total energy: -3.86 eV per atom
- Uncorrected formation energy: -0.04 eV/atom
- Density of states at the Fermi level: 3.48 states/eV/f.u.
- Space-group type: No. 123

Cell lengths 6.558, 6.558, 3.490 Å; angles 90.00, 90.00, 90.00 degrees
Positions (direct):
Cs  0.500  0.000  0.000
Cs  0.000  0.500  0.000
Au  0.500  0.500  0.500
N  0.000  0.000  0.000
Ni  0.000  0.000  0.500



Entry from the Alexandria database: Pm2Er5Tm3 after structural relaxation (PBE).

Properties
- Calculated total energy: -4.15 eV per atom
- E_form: 4.26 eV/f.u.
- ΔE to the lowest computed polymorph: 211 meV/atom
- Density of states at the Fermi level: 16.21 states/eV/f.u.
- Space-group type: No. 72

Cell lengths 6.704, 12.226, 12.226 Å; angles 44.73, 74.09, 74.09 degrees
Positions (direct):
Er  0.998  0.252  0.252
Er  0.250  0.500  0.500
Er  0.124  0.464  0.288
Er  0.376  0.712  0.536
Er  0.624  0.288  0.464
Er  0.876  0.536  0.712
Er  0.750  0.500  0.500
Er  0.002  0.748  0.748
Er  0.498  0.252  0.252
Er  0.502  0.748  0.748
Tm  0.250  0.000  0.000
Tm  0.750  0.000  0.000
Tm  0.625  0.625  0.125
Tm  0.125  0.125  0.625
Tm  0.875  0.875  0.375
Tm  0.375  0.375  0.875
Pm  0.125  0.773  0.976
Pm  0.625  0.976  0.773
Pm  0.375  0.024  0.227
Pm  0.875  0.227  0.024



Entry from the Alexandria database: BaLiCl2 after structural relaxation (PBE).

Properties
- Calculated total energy: -3.39 eV per atom
- Uncorrected formation energy: -1.50 eV/atom
- ΔE to the lowest computed polymorph: 223 meV/atom
- Density of states at the Fermi level: 0.82 states/eV/f.u.
- Space-group type: No. 225

Cell lengths 5.403, 5.403, 5.403 Å; angles 60.00, 60.00, 60.00 degrees
Positions (direct):
Cl  0.750  0.750  0.750
Cl  0.250  0.250  0.250
Ba  0.500  0.500  0.500
Li  0.000  0.000  0.000



Entry from the Alexandria database: CeGdCdRu after structural relaxation (PBE).

Properties
- Calculated total energy: -7.73 eV per atom
- E_form: -0.73 eV/f.u.
- Density of states at the Fermi level: 5.78 states/eV/f.u.
- Space-group type: No. 216

Cell lengths 5.102, 5.102, 5.102 Å; angles 60.00, 60.00, 60.00 degrees
Positions (direct):
Ru  0.750  0.750  0.750
Gd  0.500  0.500  0.500
Cd  0.250  0.250  0.250
Ce  0.000  0.000  0.000



Entry from the Alexandria database: TaTlIr after structural relaxation (PBE).

Properties
- Calculated total energy: -7.44 eV per atom
- E_form: 0.77 eV/f.u.
- Density of states at the Fermi level: 1.70 states/eV/f.u.
- Space-group type: No. 187

Cell lengths 4.627, 4.627, 2.918 Å; angles 90.00, 90.00, 120.00 degrees
Positions (direct):
Tl  0.667  0.333  0.834
Ir  0.000  0.000  0.833
Ta  0.333  0.667  0.333



Entry from the Alexandria database: MnPb2W after structural relaxation (PBE).

Properties
- Calculated total energy: -6.41 eV per atom
- E_form: 3.90 eV/f.u.
- ΔE to the lowest computed polymorph: 543 meV/atom
- Density of states at the Fermi level: 3.02 states/eV/f.u.
- Space-group type: No. 47

Cell lengths 3.382, 5.372, 4.639 Å; angles 90.00, 90.00, 90.00 degrees
Positions (direct):
Pb  0.500  0.500  0.000
Pb  0.000  0.000  0.000
Mn  0.000  0.500  0.500
W  0.500  0.000  0.500



Entry from the Alexandria database: HoMgScHg after structural relaxation (PBE).

Properties
- Calculated total energy: -3.44 eV per atom
- E_form: -0.97 eV/f.u.
- ΔE to the lowest computed polymorph: 13 meV/atom
- Density of states at the Fermi level: 4.45 states/eV/f.u.
- Space-group type: No. 216

Cell lengths 5.140, 5.140, 5.140 Å; angles 60.00, 60.00, 60.00 degrees
Positions (direct):
Sc  0.000  0.000  0.000
Hg  0.750  0.750  0.750
Mg  0.250  0.250  0.250
Ho  0.500  0.500  0.500



Entry from the Alexandria database: Zn2AgSb after structural relaxation (PBE).

Properties
- Calculated total energy: -2.27 eV per atom
- Uncorrected formation energy: 0.11 eV/atom
- Density of states at the Fermi level: 1.28 states/eV/f.u.
- Space-group type: No. 160

Cell lengths 4.272, 4.272, 5.969 Å; angles 69.03, 69.03, 60.00 degrees
Positions (direct):
Ag  0.497  0.497  0.509
Sb  0.673  0.673  0.980
Zn  0.084  0.084  0.747
Zn  0.245  0.245  0.264



Entry from the Alexandria database: AlCr2Fe after structural relaxation (PBE).

Properties
- Calculated total energy: -7.89 eV per atom
- E_form: -0.13 eV/f.u.
- ΔE to the lowest computed polymorph: 110 meV/atom
- Density of states at the Fermi level: 3.05 states/eV/f.u.
- Space-group type: No. 6

Cell lengths 3.986, 2.509, 4.838 Å; angles 79.71, 90.00, 90.00 degrees
Positions (direct):
Al  0.500  0.744  0.746
Cr  0.000  0.055  0.004
Cr  0.500  0.238  0.244
Fe  0.000  0.463  0.506



Entry from the Alexandria database: FeTc3B after structural relaxation (PBE).

Properties
- Calculated total energy: -9.32 eV per atom
- E_form: -0.38 eV/f.u.
- ΔE to the lowest computed polymorph: 0 meV/atom
- Density of states at the Fermi level: 4.03 states/eV/f.u.
- Space-group type: No. 14

Cell lengths 4.799, 6.399, 8.290 Å; angles 108.42, 90.00, 90.00 degrees
Positions (direct):
B  0.509  0.716  0.942
B  0.491  0.284  0.058
B  0.009  0.284  0.558
B  0.991  0.716  0.442
Fe  0.809  0.375  0.376
Fe  0.309  0.625  0.124
Fe  0.691  0.375  0.876
Fe  0.191  0.625  0.624
Tc  0.004  0.208  0.046
Tc  0.799  0.604  0.184
Tc  0.201  0.396  0.816
Tc  0.299  0.396  0.316
Tc  0.959  0.014  0.675
Tc  0.701  0.604  0.684
Tc  0.996  0.792  0.954
Tc  0.496  0.208  0.546
Tc  0.459  0.986  0.825
Tc  0.541  0.014  0.175
Tc  0.504  0.792  0.454
Tc  0.041  0.986  0.325



Entry from the Alexandria database: SmAl3Pb2O8 after structural relaxation (PBE).

Properties
- Calculated total energy: -7.09 eV per atom
- Uncorrected formation energy: -2.58 eV/atom
- Density of states at the Fermi level: 0.00 states/eV/f.u.
- Space-group type: No. 224

Cell lengths 9.598, 9.598, 9.598 Å; angles 90.00, 90.00, 90.00 degrees
Positions (direct):
Al  0.500  0.250  0.000
Al  0.250  0.000  0.500
Al  0.500  0.000  0.750
Al  0.750  0.000  0.500
Al  0.250  0.500  0.000
Al  0.500  0.000  0.250
Al  0.750  0.500  0.000
Al  0.000  0.500  0.250
Al  0.000  0.250  0.500
Al  0.500  0.750  0.000
Al  0.000  0.750  0.500
Al  0.000  0.500  0.750
Sm  0.250  0.750  0.250
Sm  0.750  0.750  0.750
Sm  0.750  0.250  0.250
Sm  0.250  0.250  0.750
O  0.343  0.986  0.343
O  0.890  0.890  0.890
O  0.843  0.843  0.514
O  0.657  0.343  0.014
O  0.657  0.986  0.657
O  0.157  0.514  0.157
O  0.343  0.343  0.986
O  0.486  0.157  0.843
O  0.343  0.014  0.657
O  0.843  0.514  0.843
O  0.157  0.157  0.514
O  0.514  0.157  0.157
O  0.843  0.157  0.486
O  0.610  0.610  0.610
O  0.157  0.486  0.843
O  0.110  0.890  0.110
O  0.986  0.343  0.343
O  0.610  0.390  0.390
O  0.986  0.657  0.657
O  0.343  0.657  0.014
O  0.390  0.390  0.610
O  0.390  0.610  0.390
O  0.890  0.110  0.110
O  0.514  0.843  0.843
O  0.486  0.843  0.157
O  0.843  0.486  0.157
O  0.110  0.110  0.890
O  0.157  0.843  0.486
O  0.014  0.657  0.343
O  0.657  0.014  0.343
O  0.657  0.657  0.986
O  0.014  0.343  0.657
Pb  0.133  0.867  0.867
Pb  0.633  0.367  0.633
Pb  0.867  0.867  0.133
Pb  0.633  0.633  0.367
Pb  0.367  0.633  0.633
Pb  0.867  0.133  0.867
Pb  0.133  0.133  0.133
Pb  0.367  0.367  0.367